Ni3PdN: optimized geometry, PBE.

POSCAR file:
```
Ni3PdN
1.0
3.8689 0.0000 0.0000
0.0000 5.3988 0.0000
-0.0870 0.0000 5.6417
Ni Pd N
6 2 2
Direct
0.2431 0.2500 0.2121
0.2528 0.9997 0.6231
0.2528 0.5003 0.6231
0.7472 0.0003 0.3769
0.7472 0.4997 0.3769
0.7569 0.7500 0.7879
0.2424 0.7500 0.1835
0.7576 0.2500 0.8165
0.2611 0.7500 0.8311
0.7389 0.2500 0.1689
```

**Total moment**: 0.0 μB per cell
**SG**: P2_1/m (11)
**ΔE_f (raw)**: 0.20 eV/atom
**E**: -5.975 eV/atom
**Crystal system**: monoclinic